1.
VASP calculation (PBE-GGA) on a relaxed structure of CsHoCdO3.

Unit cell a=7.339 b=3.614 c=9.941 alpha=90.00 beta=111.22 gamma=90.00
Space group P2_1/m (No. 11)
Symmetry-distinct sites (fractional):
Cs1 0.148 0.250 0.190 x2
Ho1 0.378 0.250 0.850 x2
Cd1 0.179 0.750 0.554 x2
O1 0.056 0.250 0.655 x2
O2 0.327 0.750 0.979 x2
O3 0.445 0.750 0.729 x2

Computed properties:
Uncorrected formation energy in kJ/mol of formula units: -1194
Total DFT energy (no corrections) in eV per cell: -67.2
Density of states at the Fermi level in states/eV/f.u.: 0.00


2.
VASP calculation (PBE-GGA) on a relaxed structure of LiDy2Te6Pb3.

Unit cell a=19.838 b=4.443 c=9.169 alpha=90.00 beta=104.97 gamma=90.00
Space group C2/m (No. 12)
Symmetry-distinct sites (fractional):
Li1 0.000 0.000 0.000 x2
Dy1 0.166 0.500 0.342 x4
Te1 0.007 0.500 0.239 x4
Te2 0.168 0.000 0.105 x4
Te3 0.171 0.000 0.582 x4
Pb1 0.000 0.000 0.500 x2
Pb2 0.160 0.500 0.847 x4

Computed properties:
Uncorrected formation energy in kJ/mol of formula units: -910
Total DFT energy (no corrections) in eV per cell: -101.1
Density of states at the Fermi level in states/eV/f.u.: 4.24


Question: Look up the density of states at the Fermi level of the second one.
Answer: 4.24 states/eV/f.u.


Question: Which of these has the highest uncorrected formation energy?
Answer: LiDy2Te6Pb3


Question: The highest density of states at the Fermi level belongs to which entry?
Answer: LiDy2Te6Pb3